No. 1
This record from Alexandria describes a relaxed structure of AcPr2Nd6Y. The functional is PBE.

The structure in POSCAR format:
```
AcPr2Nd6Y
1.0
-9.683 0.598 2.214
-1.462 -5.206 -7.399
2.102 -4.148 7.898
Pr Nd Y Ac
4 12 2 2
Cartesian
-4.903 -2.000 2.193
-0.463 -2.418 -0.637
-4.140 -6.756 0.519
-8.580 -6.338 3.350
-6.191 -4.083 -3.290
-5.490 -2.016 5.845
-7.909 -3.069 3.761
-9.900 -5.028 -2.361
-2.596 -2.894 -3.622
-2.852 -4.672 6.002
-6.447 -5.862 6.334
-3.553 -6.740 -3.133
-5.225 -5.165 3.280
-1.134 -5.687 -1.048
-3.818 -3.591 -0.568
0.856 -3.727 5.073
-7.265 -4.324 0.526
-1.778 -4.432 2.187
-3.804 -5.033 -6.508
-5.240 -3.722 9.221
```

## Properties
Space-group type: C2/c, No. 15
E, eV/cell: -95.3



No. 2
This record from Alexandria describes a relaxed structure of AcPrNdY. The functional is PBE.

The structure in POSCAR format:
```
AcPrNdY
1.0
5.284 0.000 0.000
0.000 5.304 0.000
-2.642 -2.652 5.303
Ac Pr Nd Y
1 1 1 1
Cartesian
0.000 0.000 4.724
0.000 2.652 2.078
2.642 0.000 2.070
2.642 2.652 4.727
```

## Properties
Space-group type: Imm2, No. 44
E, eV/cell: -20.0



No. 3
This record from Alexandria describes a relaxed structure of Ac2PrNdY5. The functional is PBE.

The structure in POSCAR format:
```
Ac2PrNdY5
1.0
-0.024 1.606 -5.633
-9.781 -3.244 2.161
-2.774 10.333 2.958
Nd Pr Y Ac
2 2 10 4
Cartesian
-4.287 10.341 -0.079
-9.466 2.732 0.819
-7.124 4.624 -1.697
-4.108 -0.942 -0.251
-1.106 3.163 -2.139
-7.772 5.820 1.692
-3.465 5.726 -1.399
-6.474 1.704 0.513
-7.862 -1.688 -0.449
-4.548 1.918 -2.480
-6.386 8.044 -0.725
-0.485 0.212 0.063
-11.410 5.301 1.559
-10.874 3.941 -1.877
-4.188 7.021 2.019
-9.771 7.462 -0.877
-8.287 1.293 -2.642
-3.221 2.777 0.805
```

## Properties
Space-group type: Cmc2_1, No. 36
E, eV/cell: -97.5



No. 4
This record from Alexandria describes a relaxed structure of Ac5PrNdY2. The functional is PBE.

The structure in POSCAR format:
```
Ac5PrNdY2
1.0
5.964 0.000 0.000
-2.982 10.983 0.000
0.000 0.000 11.286
Ac Nd Y Pr
10 2 4 2
Cartesian
2.982 2.731 5.845
0.000 8.252 0.202
2.982 4.914 9.280
2.982 10.769 5.763
0.000 0.214 0.121
0.000 10.750 8.432
2.982 0.234 2.789
2.982 4.437 2.309
0.000 6.069 3.637
0.000 6.547 7.952
0.000 4.276 0.163
2.982 6.707 5.806
0.000 2.534 8.431
0.000 2.455 3.283
2.982 8.529 8.926
2.982 8.450 2.789
2.982 2.077 10.935
0.000 8.907 5.292
```

## Properties
Space-group type: Cmc2_1, No. 36
E, eV/cell: -83.3



No. 5
This record from Alexandria describes a relaxed structure of Ac2PrNd2Y. The functional is PBE.

The structure in POSCAR format:
```
Ac2PrNd2Y
1.0
-3.736 -4.140 2.139
3.828 -0.177 6.343
-6.001 7.392 3.827
Ac Nd Y Pr
4 4 2 2
Cartesian
-0.049 1.229 2.293
-1.839 -2.071 1.117
-5.926 5.232 8.116
-2.067 5.984 7.972
-3.955 6.040 4.783
-2.887 2.625 8.377
1.838 1.173 5.481
-2.962 0.448 4.032
-1.058 3.607 5.134
-2.971 3.694 1.962
-4.867 2.794 5.246
-0.983 0.278 7.161
```

## Properties
Space-group type: Pmma, No. 51
E, eV/cell: -57.2



No. 6
This record from Alexandria describes a relaxed structure of AcPr5Nd2Y. The functional is PBE.

The structure in POSCAR format:
```
AcPr5Nd2Y
1.0
-7.175 -2.688 -4.989
3.879 -8.197 -1.163
-1.955 2.800 9.681
Pr Nd Ac Y
10 4 2 2
Cartesian
0.269 -2.834 6.065
-2.950 -9.113 -2.678
0.000 0.000 0.000
-5.520 -5.250 -2.535
-2.977 -4.898 3.468
-2.274 -3.186 0.061
0.296 -7.048 -0.081
-1.648 -5.442 -3.076
-5.547 -1.036 3.611
-2.301 1.028 6.208
0.673 -8.280 -2.945
-3.969 -2.604 -3.207
0.660 -3.461 -1.024
-3.955 -7.424 -5.127
-3.449 -6.763 0.227
-1.802 -1.321 3.303
0.138 -5.419 2.721
-5.389 -2.665 0.808
```

## Properties
Space-group type: I4/mcm, No. 140
E, eV/cell: -83.5